# BaCrPd | Alexandria via LeMat-Bulk | GGA-PBE | relaxed
# DFT formation energy, eV/atom: 0.5267
# Energy relative to the lowest polymorph listed for this composition, meV/atom: 441
# Uncorrected energy, eV per cell: -30.32
# Crystal system: hexagonal
data_BaCrPd
_chemical_formula_sum 'Ba2 Cr2 Pd2'
_cell_length_a 4.164
_cell_length_b 4.164
_cell_length_c 10.516
_cell_angle_alpha 90.00
_cell_angle_beta 90.00
_cell_angle_gamma 120.00
_symmetry_space_group_name_H-M 'P 1'
_symmetry_Int_Tables_number 1
loop_
_symmetry_equiv_pos_as_xyz
'x,y,z'
loop_
_atom_site_label
_atom_site_fract_x
_atom_site_fract_y
_atom_site_fract_z
_atom_site_occupancy
Ba1 0.000 0.000 0.000 1
Ba2 0.000 0.000 0.500 1
Cr1 0.333 0.667 0.250 1
Cr2 0.667 0.333 0.750 1
Pd1 0.333 0.667 0.750 1
Pd2 0.667 0.333 0.250 1